P) Below is Pm4IrPd after structural relaxation, with properties calculated at the GGA-PBE level.

Output
For the magnetic moment, the calculation gives 0.0 μB per cell. Its volume is 29.03 Å³ per atom.

The structure in POSCAR format:
```
Pm4IrPd
1.0
4.965 0.000 0.001
0.000 4.969 0.003
0.008 0.012 7.060
Pm Ir Pd
4 1 1
Direct
0.501 0.997 0.257
0.502 0.998 0.739
0.002 0.498 0.740
0.001 0.497 0.257
0.001 0.997 0.498
0.501 0.497 0.998
```

Q) Below is Pm4IrPd after structural relaxation, with properties calculated at the GGA-PBE level.

Output
For the magnetic moment, the calculation gives 0.0 μB per cell. Its volume is 27.82 Å³ per atom.

The structure in POSCAR format:
```
Pm4IrPd
1.0
6.160 0.000 -1.805
0.000 6.909 0.000
-0.242 0.000 7.916
Pm Ir Pd
8 2 2
Direct
0.568 0.250 0.395
0.432 0.750 0.605
0.571 0.250 0.889
0.429 0.750 0.111
0.998 0.001 0.262
0.002 0.501 0.738
0.998 0.499 0.262
0.002 0.999 0.738
0.240 0.250 0.561
0.760 0.750 0.439
0.225 0.250 0.055
0.775 0.750 0.945
```

It is P) that is the least stable of them.

P) Below is Pm2IrPd after structural relaxation, with properties calculated at the GGA-PBE level.

Output
For the magnetic moment, the calculation gives 0.0 μB per cell. Its volume is 22.67 Å³ per atom.

The structure in POSCAR format:
```
Pm2IrPd
1.0
3.567 0.000 0.000
0.000 3.567 0.000
0.000 0.000 7.129
Ir Pd Pm
1 1 2
Direct
0.500 0.500 0.000
0.500 0.500 0.500
0.000 0.000 0.762
0.000 0.000 0.238
```

Q) Below is Pm2IrPd after structural relaxation, with properties calculated at the GGA-PBE level.

Output
For the magnetic moment, the calculation gives 0.0 μB per cell. Its volume is 22.44 Å³ per atom.

The structure in POSCAR format:
```
Pm2IrPd
1.0
-3.450 -0.898 -3.542
-3.238 -3.803 0.553
-4.850 0.943 0.919
Ir Pd Pm
1 1 2
Direct
0.500 0.500 0.500
0.000 0.000 0.000
0.250 0.250 0.250
0.750 0.750 0.750
```

It is P) that is the least stable of them.

P) Below is PmPuIrPd after structural relaxation, with properties calculated at the GGA-PBE level.

Output
For the magnetic moment, the calculation gives 5.4 μB per cell. Its volume is 21.68 Å³ per atom.

The structure in POSCAR format:
```
PmPuIrPd
1.0
4.968 0.000 0.000
2.484 4.303 0.000
2.484 1.434 4.057
Ir Pm Pd Pu
1 1 1 1
Direct
0.000 0.000 0.000
0.750 0.750 0.750
0.500 0.500 0.500
0.250 0.250 0.250
```

Q) Below is PmPuIrPd after structural relaxation, with properties calculated at the GGA-PBE level.

Output
For the magnetic moment, the calculation gives 5.1 μB per cell. Its volume is 22.74 Å³ per atom.

The structure in POSCAR format:
```
PmPuIrPd
1.0
-3.639 -0.162 -1.362
-0.919 -2.894 2.798
0.269 4.114 4.343
Pm Pu Ir Pd
1 1 1 1
Direct
0.146 0.000 0.292
0.867 0.500 0.735
0.404 0.000 0.809
0.582 0.500 0.164
```

It is P) that is the least stable of them.

P) Below is Pr5Ir2Pd after structural relaxation, with properties calculated at the GGA-PBE level.

Output
For the magnetic moment, the calculation gives 0.0 μB per cell. Its volume is 33.44 Å³ per atom.

The structure in POSCAR format:
```
Pr5Ir2Pd
1.0
-2.038 5.429 -0.486
-3.837 -4.870 -3.463
-7.971 -1.955 11.580
Pr Ir Pd
10 4 2
Direct
0.944 0.889 0.884
0.944 0.889 0.616
0.340 0.679 0.441
0.340 0.679 0.059
0.753 0.506 0.250
0.247 0.494 0.750
0.660 0.321 0.559
0.660 0.321 0.941
0.056 0.111 0.116
0.056 0.111 0.384
0.846 0.692 0.439
0.846 0.692 0.061
0.154 0.308 0.561
0.154 0.308 0.939
0.769 0.539 0.750
0.231 0.461 0.250
```

Q) Below is Pr5Ir2Pd after structural relaxation, with properties calculated at the GGA-PBE level.

Output
For the magnetic moment, the calculation gives 0.0 μB per cell. Its volume is 27.26 Å³ per atom.

The structure in POSCAR format:
```
Pr5Ir2Pd
1.0
7.173 0.000 -3.386
-1.598 6.992 -3.386
-0.178 -0.223 8.913
Pr Ir Pd
10 4 2
Direct
0.528 0.697 0.725
0.803 0.972 0.275
0.000 0.000 0.000
0.500 0.500 0.000
0.197 0.028 0.725
0.697 0.197 0.725
0.028 0.528 0.725
0.303 0.803 0.275
0.972 0.472 0.275
0.472 0.303 0.275
0.135 0.365 0.000
0.635 0.135 0.000
0.365 0.865 0.000
0.865 0.635 0.000
0.750 0.750 0.500
0.250 0.250 0.500
```

It is P) that is the least stable of them.

P) Below is Pr3IrPd after structural relaxation, with properties calculated at the GGA-PBE level.

Output
For the magnetic moment, the calculation gives 0.0 μB per cell. Its volume is 29.44 Å³ per atom.

The structure in POSCAR format:
```
Pr3IrPd
1.0
4.094 0.000 -0.001
0.002 8.721 -0.079
0.003 2.957 8.220
Pr Ir Pd
6 2 2
Direct
0.864 0.393 0.804
0.864 0.996 0.688
0.863 0.636 0.049
0.363 0.045 0.097
0.862 0.753 0.444
0.363 0.343 0.396
0.363 0.694 0.246
0.364 0.194 0.746
0.363 0.694 0.746
0.863 0.193 0.247
```

Q) Below is Pr3IrPd after structural relaxation, with properties calculated at the GGA-PBE level.

Output
For the magnetic moment, the calculation gives 0.0 μB per cell. Its volume is 27.92 Å³ per atom.

The structure in POSCAR format:
```
Pr3IrPd
1.0
-1.925 2.156 3.148
-4.452 -6.454 1.698
11.390 -5.105 10.463
Pr Ir Pd
12 4 4
Direct
0.250 0.367 0.562
0.750 0.828 0.220
0.750 0.478 0.902
0.750 0.978 0.598
0.750 0.633 0.438
0.250 0.022 0.402
0.250 0.867 0.938
0.750 0.328 0.280
0.250 0.672 0.720
0.250 0.172 0.780
0.750 0.133 0.062
0.250 0.522 0.098
0.250 0.257 0.957
0.250 0.757 0.543
0.750 0.243 0.457
0.750 0.743 0.043
0.750 0.887 0.792
0.250 0.113 0.208
0.750 0.387 0.708
0.250 0.613 0.292
```

It is P) that is the least stable of them.

P) Below is Pr4IrPd after structural relaxation, with properties calculated at the GGA-PBE level.

Output
For the magnetic moment, the calculation gives 0.0 μB per cell. Its volume is 31.23 Å³ per atom.

The structure in POSCAR format:
```
Pr4IrPd
1.0
7.254 0.062 0.000
-1.002 7.068 0.000
-3.126 -3.565 7.299
Pr Ir Pd
8 2 2
Direct
0.955 0.280 0.051
0.596 0.771 0.051
0.270 0.508 0.554
0.730 0.492 0.446
0.217 0.955 0.446
0.404 0.229 0.949
0.783 0.045 0.554
0.045 0.720 0.949
0.098 0.848 0.696
0.902 0.152 0.304
0.372 0.622 0.244
0.628 0.378 0.756
```

Q) Below is Pr4IrPd after structural relaxation, with properties calculated at the GGA-PBE level.

Output
For the magnetic moment, the calculation gives 0.0 μB per cell. Its volume is 28.24 Å³ per atom.

The structure in POSCAR format:
```
Pr4IrPd
1.0
6.532 0.000 0.000
0.000 7.202 0.000
0.000 0.000 7.202
Pr Ir Pd
8 2 2
Direct
0.000 0.187 0.675
0.000 0.813 0.325
0.000 0.325 0.187
0.000 0.675 0.813
0.500 0.813 0.675
0.500 0.187 0.325
0.500 0.675 0.187
0.500 0.325 0.813
0.250 0.500 0.500
0.750 0.500 0.500
0.250 0.000 0.000
0.750 0.000 0.000
```

It is P) that is the least stable of them.